[1]
{"formula": "La2SiNiN", "functional": "PBE", "state": "optimized geometry", "cell": [[3.890, 0.000, 0.000], [0.000, 6.555, 0.068], [0.000, -2.735, 8.044]], "species": ["Ni", "La", "La", "La", "Ni", "Si", "N", "La", "Si", "N"], "fractional_positions": [[0.250, 0.532, 0.755], [0.750, 0.791, 0.614], [0.750, 0.780, 0.037], [0.250, 0.209, 0.386], [0.750, 0.468, 0.245], [0.250, 0.675, 0.304], [0.250, 0.838, 0.834], [0.250, 0.220, 0.963], [0.750, 0.325, 0.696], [0.750, 0.162, 0.166]], "polymorph_energy_mev_per_atom": 0, "n_ef_per_ev_cell": 7.8}



[2]
{"formula": "La2SiNiN", "functional": "PBE", "state": "optimized geometry", "cell": [[5.263, 0.000, 0.000], [0.000, 5.263, 0.000], [0.000, 0.000, 3.667]], "species": ["Ni", "N", "La", "Si", "La"], "fractional_positions": [[0.000, 0.000, 0.500], [0.000, 0.000, 0.000], [0.000, 0.500, 0.000], [0.500, 0.500, 0.500], [0.500, 0.000, 0.000]], "polymorph_energy_mev_per_atom": 175, "n_ef_per_ev_cell": 4.6}



[3]
{"formula": "LaSiNiN", "functional": "PBE", "state": "optimized geometry", "cell": [[3.834, 0.000, 0.000], [0.000, 3.834, 0.000], [0.000, 0.000, 8.363]], "species": ["N", "Ni", "N", "La", "La", "Ni", "Si", "Si"], "fractional_positions": [[0.000, 0.500, 0.136], [0.000, 0.000, 0.500], [0.500, 0.000, 0.864], [0.500, 0.000, 0.160], [0.000, 0.500, 0.840], [0.500, 0.500, 0.500], [0.000, 0.500, 0.348], [0.500, 0.000, 0.652]], "e_tot_ev_per_atom": -7.21, "n_ef_per_ev_cell": 3.9}



[4]
{"formula": "La2NiSnN", "functional": "PBE", "state": "optimized geometry", "cell": [[3.881, 0.000, 0.000], [0.000, 6.938, 0.027], [0.000, -2.949, 8.522]], "species": ["La", "La", "Ni", "Sn", "N", "Ni", "La", "Sn", "N", "La"], "fractional_positions": [[0.750, 0.789, 0.634], [0.250, 0.213, 0.973], [0.750, 0.438, 0.233], [0.750, 0.301, 0.689], [0.250, 0.851, 0.843], [0.250, 0.562, 0.767], [0.250, 0.211, 0.366], [0.250, 0.699, 0.311], [0.750, 0.149, 0.157], [0.750, 0.787, 0.027]], "polymorph_energy_mev_per_atom": 0, "n_ef_per_ev_cell": 4.7}



[5]
{"formula": "La2NiSnN", "functional": "PBE", "state": "optimized geometry", "cell": [[-1.591, -3.466, 3.877], [-0.879, -3.817, -3.773], [3.517, -1.187, 0.382]], "species": ["La", "Ni", "N", "Sn", "La"], "fractional_positions": [[0.000, 0.500, 0.000], [0.000, 0.000, 0.500], [0.000, 0.000, 0.000], [0.500, 0.500, 0.500], [0.500, 0.000, 0.000]], "polymorph_energy_mev_per_atom": 146, "n_ef_per_ev_cell": 5.2}



[6]
{"formula": "LaNi2SnN", "functional": "PBE", "state": "optimized geometry", "cell": [[3.735, 0.000, 0.000], [-1.868, 6.135, 0.000], [0.000, 0.000, 7.241]], "species": ["N", "Sn", "La", "N", "Ni", "La", "Ni", "Ni", "Sn", "Ni"], "fractional_positions": [[0.000, 0.000, 0.000], [0.736, 0.471, 0.750], [0.532, 0.064, 0.250], [0.000, 0.000, 0.500], [0.849, 0.699, 0.451], [0.468, 0.936, 0.750], [0.151, 0.301, 0.951], [0.151, 0.301, 0.549], [0.264, 0.529, 0.250], [0.849, 0.699, 0.049]], "e_tot_ev_per_atom": -6.37, "n_ef_per_ev_cell": 6.6}



[7]
{"formula": "SrLaNiN2", "functional": "PBE", "state": "optimized geometry", "cell": [[5.484, 0.000, 0.000], [0.000, 5.235, 0.645], [0.000, -0.863, 6.956]], "species": ["Sr", "La", "Ni", "N", "La", "N", "Ni", "N", "Sr", "N"], "fractional_positions": [[0.000, 0.500, 0.750], [0.500, 0.000, 0.750], [0.000, 0.000, 0.000], [0.743, 0.783, 0.000], [0.500, 0.000, 0.250], [0.257, 0.783, 0.500], [0.000, 0.000, 0.500], [0.743, 0.217, 0.500], [0.000, 0.500, 0.250], [0.257, 0.217, 0.000]], "e_tot_ev_per_atom": -6.44, "n_ef_per_ev_cell": 8.5}



[8]
{"formula": "Sr2LaNiN", "functional": "PBE", "state": "optimized geometry", "cell": [[-0.478, -6.097, -2.072], [2.501, 0.628, -2.425], [4.545, -1.792, 4.223]], "species": ["La", "Sr", "Sr", "N", "Ni"], "fractional_positions": [[0.500, 0.500, 0.500], [0.500, 0.000, 0.000], [0.000, 0.000, 0.500], [0.000, 0.500, 0.000], [0.000, 0.000, 0.000]], "e_tot_ev_per_atom": -4.10, "n_ef_per_ev_cell": 7.0}